--- i ---
The following is a DFT calculation (PBE-GGA) of crystalline RbTiBe2 at its relaxed geometry.

Unit cell a=6.8670 b=6.8670 c=6.8670 alpha=90.00 beta=90.00 gamma=90.00
Last column: nearest neighbours and their distance in Å.
Space group Fm-3m (No. 225)
Symmetry-distinct sites (fractional):
Rb (0.0000, 0.0000, 0.0000) [4 per cell]  8 Be 2.97
Ti (0.0000, 0.0000, 0.5000) [4 per cell]  8 Be 2.97
Be (0.2500, 0.2500, 0.2500) [8 per cell]  4 Rb 2.97, 4 Ti 2.97

## Properties
D(E_F) (states/eV per atom): 0.8522



--- ii ---
The following is a DFT calculation (PBE-GGA) of crystalline RbTiBe2 at its relaxed geometry.

Unit cell a=7.6357 b=7.6357 c=7.0246 alpha=90.00 beta=90.00 gamma=90.00
Last column: nearest neighbours and their distance in Å.
Space group I-42d (No. 122)
Symmetry-distinct sites (fractional):
Rb (0.0000, 0.0000, 0.0000) [4 per cell]  8 Be 3.29-3.50, 2 Ti 3.51
Ti (0.0000, 0.0000, 0.5000) [4 per cell]  4 Be 2.46
Be (0.1678, 0.2500, 0.6250) [8 per cell]  2 Ti 2.46

## Properties
D(E_F) (states/eV per atom): 0.9518



Most stable = ii



--- i ---
The following is a DFT calculation (PBE-GGA) of crystalline RbBeTl at its relaxed geometry.

Unit cell a=4.2125 b=4.8271 c=10.4650 alpha=95.98 beta=90.36 gamma=90.00
Last column: nearest neighbours and their distance in Å.
Space group P-1 (No. 2)
Symmetry-distinct sites (fractional):
Rb (0.2451, 0.2948, 0.2028) [2 per cell]  3 Be 3.45-3.63, 4 Tl 3.74-3.85
Be (0.2503, 0.6111, 0.5140) [2 per cell]  2 Be 2.37, 2 Tl 2.53-2.64
Tl (0.2517, 0.1436, 0.6025) [2 per cell]  4 Be 2.53-2.76

## Properties
D(E_F) (states/eV per atom): 0.5378



--- ii ---
The following is a DFT calculation (PBE-GGA) of crystalline RbBeTl at its relaxed geometry.

Unit cell a=3.9015 b=6.0842 c=4.4263 alpha=90.00 beta=112.59 gamma=90.00
Last column: nearest neighbours and their distance in Å.
Space group Pm (No. 6)
Symmetry-distinct sites (fractional):
Rb (0.0000, 0.0000, 0.0000) [1 per cell]  4 Be 3.67-3.84, 6 Tl 3.84-4.02, 2 Rb 3.90
Be (0.3491, 0.5000, 0.7509) [1 per cell]  3 Tl 2.49-2.55
Tl (0.6845, 0.5000, 0.3569) [1 per cell]  3 Be 2.49-2.55

## Properties
D(E_F) (states/eV per atom): 0.5000



Most stable = i



--- i ---
The following is a DFT calculation (PBE-GGA) of crystalline RbBeTl at its relaxed geometry.

Unit cell a=4.1035 b=4.1037 c=13.4113 alpha=89.20 beta=89.55 gamma=60.01
Last column: nearest neighbours and their distance in Å.
Space group P-1 (No. 2)
Symmetry-distinct sites (fractional):
Rb (0.1678, 0.1813, 0.1704) [2 per cell]  3 Tl 3.67, 6 Rb 4.10
Be (0.1667, 0.1666, 0.5006) [2 per cell]  3 Be 2.37
Tl (0.4996, 0.4945, 0.6204) [2 per cell]  6 Be 2.86-2.87

## Properties
D(E_F) (states/eV per atom): 0.2886



--- ii ---
The following is a DFT calculation (PBE-GGA) of crystalline RbBeTl at its relaxed geometry.

Unit cell a=4.2778 b=4.6741 c=12.3420 alpha=80.19 beta=87.48 gamma=66.56
Last column: nearest neighbours and their distance in Å.
Space group P1 (No. 1)
Symmetry-distinct sites (fractional):
Rb (0.0000, 0.0000, 0.0000) [1 per cell]  3 Tl 3.64-3.71, 2 Be 3.83-4.06
Rb (0.4488, 0.2978, 0.3805) [1 per cell]  3 Tl 3.64-3.71, 2 Be 3.83-4.06
Be (0.3046, 0.0374, 0.6832) [1 per cell]  2 Be 2.15
Be (0.8055, 0.0309, 0.6973) [1 per cell]  2 Be 2.15
Tl (0.3214, 0.4864, 0.7939) [1 per cell]  4 Be 2.68-2.74
Tl (0.8044, 0.5864, 0.5866) [1 per cell]  4 Be 2.68-2.74

## Properties
D(E_F) (states/eV per atom): 0.2893



Most stable = i



--- i ---
The following is a DFT calculation (PBE-GGA) of crystalline RbBeTl3 at its relaxed geometry.

Unit cell a=5.3269 b=5.3269 c=5.3269 alpha=90.00 beta=90.00 gamma=90.00
Last column: nearest neighbours and their distance in Å.
Space group Pm-3m (No. 221)
Symmetry-distinct sites (fractional):
Rb (0.0000, 0.0000, 0.0000) [1 per cell]  12 Tl 3.77
Be (0.5000, 0.5000, 0.5000) [1 per cell]  6 Tl 2.66
Tl (0.0000, 0.5000, 0.5000) [3 per cell]  2 Be 2.66

## Properties
D(E_F) (states/eV per atom): 0.6029



--- ii ---
The following is a DFT calculation (PBE-GGA) of crystalline RbBeTl3 at its relaxed geometry.

Unit cell a=6.5979 b=6.5979 c=6.5979 alpha=90.00 beta=90.00 gamma=90.00
Last column: nearest neighbours and their distance in Å.
Space group Pm-3m (No. 221)
Symmetry-distinct sites (fractional):
Rb (0.0000, 0.0000, 0.0000) [1 per cell]  6 Tl 3.30
Be (0.5000, 0.5000, 0.5000) [1 per cell]  12 Tl 4.67
Tl (0.0000, 0.0000, 0.5000) [3 per cell]  2 Rb 3.30

## Properties
D(E_F) (states/eV per atom): 2.2835



Most stable = i